The following is a PBE+U calculation of a relaxed structure of VF5, from Alexandria via LeMat-Bulk.

Properties
total magnetization = 0.007 μB per atom
uncorrected energy = -126.07 eV per cell

Structure (POSCAR):
```
VF5
1.0
-1.1911 -0.7902 -5.1417
-3.4880 -6.9989 1.8837
-7.6507 4.1194 1.1392
F V
20 4
Direct
0.0524 0.6042 0.2500
0.2354 0.3955 0.4496
0.9412 0.2848 0.2500
0.7646 0.6045 0.5504
0.9757 0.0356 0.7500
0.0588 0.7152 0.7500
0.9476 0.3958 0.7500
0.4757 0.4644 0.7500
0.2646 0.8955 0.5504
0.5243 0.5356 0.2500
0.7646 0.6045 0.9496
0.4412 0.2152 0.2500
0.7354 0.1045 0.0504
0.5524 0.8958 0.2500
0.2646 0.8955 0.9496
0.0243 0.9644 0.2500
0.2354 0.3955 0.0504
0.7354 0.1045 0.4496
0.5588 0.7848 0.7500
0.4476 0.1042 0.7500
0.2409 0.4283 0.2500
0.7591 0.5717 0.7500
0.2591 0.9283 0.7500
0.7409 0.0717 0.2500
```